[1]
# Co8Pt (PBE, relaxed)
data_Co8Pt
_cell_length_a 7.609
_cell_length_b 7.609
_cell_length_c 3.586
_cell_angle_alpha 90.00
_cell_angle_beta 90.00
_cell_angle_gamma 90.00
_space_group_name_H-M_alt 'I 4/m m m'
_space_group_IT_number 139
_space_group_name_Hall '-I 4 2'
loop_
_atom_site_label
_atom_site_type_symbol
_atom_site_fract_x
_atom_site_fract_y
_atom_site_fract_z
Co1 Co 0.000 0.340 0.000
Co2 Co 0.174 0.174 0.500
Pt1 Pt 0.000 0.000 0.000
# ΔE_f ... -0.017 eV/atom



[2]
# RbInO2 (PBE, relaxed)
data_RbInO2
_cell_length_a 3.296
_cell_length_b 18.188
_cell_length_c 5.105
_cell_angle_alpha 90.00
_cell_angle_beta 90.00
_cell_angle_gamma 90.00
_space_group_name_H-M_alt 'C m c m'
_space_group_IT_number 63
_space_group_name_Hall '-C 2c 2'
loop_
_atom_site_label
_atom_site_type_symbol
_atom_site_fract_x
_atom_site_fract_y
_atom_site_fract_z
Rb1 Rb 0.000 0.066 0.250
In1 In 0.000 0.313 0.250
O1 O 0.000 0.111 0.750
O2 O 0.000 0.204 0.250
# E_form (uncorrected) ... -413 kJ/mol of formula units



[3]
# AgGe2Pd2 (PBE, relaxed)
data_AgGe2Pd2
_cell_length_a 4.235
_cell_length_b 4.235
_cell_length_c 10.076
_cell_angle_alpha 90.00
_cell_angle_beta 90.00
_cell_angle_gamma 90.00
_space_group_name_H-M_alt 'I 4/m m m'
_space_group_IT_number 139
_space_group_name_Hall '-I 4 2'
loop_
_atom_site_label
_atom_site_type_symbol
_atom_site_fract_x
_atom_site_fract_y
_atom_site_fract_z
Ag1 Ag 0.000 0.000 0.000
Ge1 Ge 0.000 0.000 0.382
Pd1 Pd 0.000 0.500 0.250
# ΔE_f ... -0.182 eV/atom
# Energy above the most stable polymorph in this dataset ... 0.12 eV/f.u.



[4]
# NdSm3Cd (PBE, relaxed)
data_NdSm3Cd
_cell_length_a 3.764
_cell_length_b 6.845
_cell_length_c 12.917
_cell_angle_alpha 87.18
_cell_angle_beta 89.99
_cell_angle_gamma 74.04
_space_group_name_H-M_alt 'P -1'
_space_group_IT_number 2
loop_
_space_group_symop_operation_xyz
'x,y,z'
'-x,-y,-z'
loop_
_atom_site_label
_atom_site_type_symbol
_atom_site_fract_x
_atom_site_fract_y
_atom_site_fract_z
Nd1 Nd 0.228 0.042 0.251
Sm1 Sm 0.038 0.423 0.690
Sm2 Sm 0.146 0.209 0.947
Sm3 Sm 0.367 0.768 0.526
Cd1 Cd 0.445 0.610 0.873
# ΔE_f ... -0.107 eV/atom
# Energy above the most stable polymorph in this dataset ... 0.00 eV/f.u.



[5]
# Tm8Zn2In (PBE, relaxed)
data_Tm8Zn2In
_cell_length_a 8.688
_cell_length_b 13.745
_cell_length_c 5.304
_cell_angle_alpha 90.00
_cell_angle_beta 108.34
_cell_angle_gamma 90.00
_space_group_name_H-M_alt 'C 1 2/m 1'
_space_group_IT_number 12
loop_
_space_group_symop_operation_xyz
'x,y,z'
'-x,-y,-z'
'-x,y,-z'
'x,-y,z'
'x+1/2,y+1/2,z'
'-x+1/2,-y+1/2,-z'
'-x+1/2,y+1/2,-z'
'x+1/2,-y+1/2,z'
loop_
_atom_site_label
_atom_site_type_symbol
_atom_site_fract_x
_atom_site_fract_y
_atom_site_fract_z
Tm1 Tm 0.000 0.233 0.000
Tm2 Tm 0.106 0.500 0.803
Tm3 Tm 0.207 0.122 0.601
Zn1 Zn 0.000 0.308 0.500
In1 In 0.000 0.000 0.000
# ΔE_f ... -0.096 eV/atom
# Energy above the most stable polymorph in this dataset ... 1.20 eV/f.u.



[6]
# Ca3Hg7Pb2 (PBE, relaxed)
data_Ca3Hg7Pb2
_cell_length_a 5.146
_cell_length_b 3.865
_cell_length_c 17.044
_cell_angle_alpha 90.00
_cell_angle_beta 91.75
_cell_angle_gamma 90.00
_space_group_name_H-M_alt 'P 1 2/m 1'
_space_group_IT_number 10
loop_
_space_group_symop_operation_xyz
'x,y,z'
'-x,-y,-z'
'-x,y,-z'
'x,-y,z'
loop_
_atom_site_label
_atom_site_type_symbol
_atom_site_fract_x
_atom_site_fract_y
_atom_site_fract_z
Ca1 Ca 0.000 0.000 0.000
Ca2 Ca 0.282 0.500 0.630
Hg1 Hg 0.101 0.500 0.143
Hg2 Hg 0.245 0.000 0.463
Hg3 Hg 0.372 0.000 0.838
Hg4 Hg 0.500 0.500 0.000
Pb1 Pb 0.201 0.000 0.288
# ΔE_f ... -0.273 eV/atom



[7]
# TiCr3Te (PBE, relaxed)
data_TiCr3Te
_cell_length_a 4.649
_cell_length_b 4.649
_cell_length_c 4.649
_cell_angle_alpha 90.00
_cell_angle_beta 90.00
_cell_angle_gamma 90.00
_space_group_name_H-M_alt 'P m -3 m'
_space_group_IT_number 221
_space_group_name_Hall '-P 4 2 3'
loop_
_atom_site_label
_atom_site_type_symbol
_atom_site_fract_x
_atom_site_fract_y
_atom_site_fract_z
Ti1 Ti 0.000 0.000 0.000
Cr1 Cr 0.000 0.000 0.500
Te1 Te 0.500 0.500 0.500
# E_form (uncorrected) ... 606 kJ/mol of formula units
# Energy above the most stable polymorph in this dataset ... 0.00 eV/f.u.



[8]
# CoAg2Sb (PBE, relaxed)
data_CoAg2Sb
_cell_length_a 3.125
_cell_length_b 5.129
_cell_length_c 4.513
_cell_angle_alpha 90.00
_cell_angle_beta 91.05
_cell_angle_gamma 90.00
_space_group_name_H-M_alt 'P 1 2/m 1'
_space_group_IT_number 10
loop_
_space_group_symop_operation_xyz
'x,y,z'
'-x,-y,-z'
'-x,y,-z'
'x,-y,z'
loop_
_atom_site_label
_atom_site_type_symbol
_atom_site_fract_x
_atom_site_fract_y
_atom_site_fract_z
Co1 Co 0.000 0.000 0.000
Ag1 Ag 0.248 0.500 0.756
Sb1 Sb 0.500 0.000 0.500
# E_form (uncorrected) ... 128 kJ/mol of formula units